Na2ZnReB | SCAN | single point on PBEsol structure

a b c (Å): 5.558 5.558 4.785
angles (deg): 90.00 90.00 90.00
Space group P4/mmm (No. 123)
Asymmetric unit:
Na (0.000, 0.500, 0.000)
Zn (0.000, 0.000, 0.500)
Re (0.000, 0.000, 0.000)
B (0.500, 0.500, 0.500)

***

Na2B2Rh | SCAN | single point on PBEsol structure

a b c (Å): 3.307 3.307 11.315
angles (deg): 90.00 90.00 90.00
Space group I4/mmm (No. 139)
Asymmetric unit:
Na (0.000, 0.500, 0.250)
B (0.000, 0.000, 0.072)
Rh (0.000, 0.000, 0.500)

***

Number 1: Fermi-level density of states 3.18 states/eV/cell, formation energy 2.224 eV per atom. Number 2: Fermi-level density of states 6.19 states/eV/cell, formation energy 0.780 eV per atom.